(1)
YNb4Te8 | PBE | optimized geometry

abc: 8.7595 8.7595 8.7595
angles: 50.91 50.91 50.91
Closest atoms and distances in Å follow each position.
Element x y z (fractional)
Y  0.0000  0.0000  0.0000  6 Te 2.99
Nb  0.0000  0.0000  0.5000  6 Te 2.83-2.86
Nb  0.0000  0.5000  0.0000  6 Te 2.83-2.86
Nb  0.5000  0.0000  0.0000  6 Te 2.83-2.86
Nb  0.5000  0.5000  0.5000  6 Te 2.78
Te  0.2462  0.2462  0.2462  3 Nb 2.83
Te  0.2557  0.7415  0.7415  3 Nb 2.78-2.86, 1 Y 2.99
Te  0.2585  0.2585  0.7443  3 Nb 2.78-2.86, 1 Y 2.99
Te  0.2585  0.7443  0.2585  3 Nb 2.78-2.86, 1 Y 2.99
Te  0.7415  0.2557  0.7415  3 Nb 2.78-2.86, 1 Y 2.99
Te  0.7415  0.7415  0.2557  3 Nb 2.78-2.86, 1 Y 2.99
Te  0.7443  0.2585  0.2585  3 Nb 2.78-2.86, 1 Y 2.99
Te  0.7538  0.7538  0.7538  3 Nb 2.83

Calculated values
As for the density of states at the Fermi level: 0.38 states/eV/atom. Its space group is No. 166. The value obtained for the energy relative to the elements, uncorrected is -0.4941 eV per atom.



(2)
Y2Nb2Te | PBE | optimized geometry

abc: 7.8452 7.8452 4.0892
angles: 90.00 90.00 90.00
Closest atoms and distances in Å follow each position.
Element x y z (fractional)
Y  0.1893  0.3107  0.0000  6 Nb 3.07-3.15
Y  0.3107  0.8107  0.0000  6 Nb 3.07-3.15
Y  0.6893  0.1893  0.0000  6 Nb 3.07-3.15
Y  0.8107  0.6893  0.0000  6 Nb 3.07-3.15
Nb  0.1048  0.6048  0.5000  1 Nb 2.33
Nb  0.3952  0.1048  0.5000  1 Nb 2.33
Nb  0.6048  0.8952  0.5000  1 Nb 2.33
Nb  0.8952  0.3952  0.5000  1 Nb 2.33
Te  0.0000  0.0000  0.5000  4 Nb 3.21, 8 Y 3.51
Te  0.5000  0.5000  0.5000  4 Nb 3.21, 8 Y 3.51

Calculated values
As for the density of states at the Fermi level: 0.51 states/eV/atom. For the polymorph energy (0 for the lowest one), the calculation gives 0.0 meV per atom. Its space group is No. 127. The value obtained for the energy relative to the elements, uncorrected is 0.0035 eV per atom.